DFT (PBE) results for a geometry-optimized PmTh2Tl structure.

SG ... R3m, No. 160
Energy ... -21.83 eV for the cell shown
ΔE to the lowest computed polymorph ... 143 meV per atom
Crystal system ... trigonal

```
PmTh2Tl
1.0
3.5626 0.0000 0.0000
1.7813 3.0853 0.0000
1.7813 1.0284 11.6036
Pm Th Tl
1 2 1
Direct
0.6660 0.6660 0.0020
0.0863 0.0863 0.7410
0.2472 0.2472 0.2583
0.5004 0.5004 0.4987
```

---

DFT (PBE) results for a geometry-optimized SO structure.

Energy relative to the elements, uncorrected ... -8 kJ per mole of atoms
SG ... I-43m, No. 217
Energy ... -74.05 eV for the cell shown
ΔE to the lowest computed polymorph ... 477 meV per atom
Crystal system ... cubic

```
SO
1.0
-3.1123 3.9098 5.6035
-6.0589 1.2669 -4.2493
-3.1583 -6.2834 2.6299
S O
8 8
Direct
0.3720 0.3720 0.3720
0.3720 0.6280 0.6280
0.6280 0.3720 0.6280
0.6280 0.6280 0.3720
0.8720 0.8720 0.8720
0.8720 0.1280 0.1280
0.1280 0.8720 0.1280
0.1280 0.1280 0.8720
0.2573 0.2573 0.2573
0.2573 0.7427 0.7427
0.7427 0.2573 0.7427
0.7427 0.7427 0.2573
0.7573 0.7573 0.7573
0.7573 0.2427 0.2427
0.2427 0.7573 0.2427
0.2427 0.2427 0.7573
```